# PmDy3Sb3, relaxed, DFT GGA-PBE
# Energy above the lowest structure with this stoichiometry, eV/atom: 0.101
# Density of states at the Fermi level, states/eV/f.u.: 4.250
# Formation energy without anion corrections, eV/atom: -0.906
data_PmDy3Sb3
_cell_length_a 9.0729
_cell_length_b 9.0729
_cell_length_c 18.4353
_cell_angle_alpha 90.00
_cell_angle_beta 90.00
_cell_angle_gamma 120.00
_symmetry_space_group_name_H-M 'R -3'
_symmetry_Int_Tables_number 148
_symmetry_space_group_name_Hall '-R 3'
loop_
_atom_site_label
_atom_site_fract_x
_atom_site_fract_y
_atom_site_fract_z
Pm1 0.0000 0.0000 0.1659
Dy1 0.0026 0.2668 0.5848
Sb1 0.0039 0.3830 0.4178



# Nd2MgURh6, relaxed, DFT GGA-PBE
# Density of states at the Fermi level, states/eV/f.u.: 6.361
# E_tot, eV for the cell shown: -140.56
data_Nd2MgURh6
_cell_length_a 10.077
_cell_length_b 5.828
_cell_length_c 8.490
_cell_angle_alpha 90.00
_cell_angle_beta 113.23
_cell_angle_gamma 90.00
_symmetry_space_group_name_H-M 'C 1 2/m 1'
_symmetry_Int_Tables_number 12
_symmetry_space_group_name_Hall '-C 2y'
loop_
_atom_site_label
_atom_site_fract_x
_atom_site_fract_y
_atom_site_fract_z
Nd1 0.212 0.000 0.136
Mg1 0.000 0.000 0.500
U1 0.000 0.500 0.000
Rh1 0.010 0.243 0.773
Rh2 0.247 0.500 0.227



# Li6NdPd2, relaxed, DFT GGA-PBE
# Density of states at the Fermi level, states/eV/f.u.: 6.644
# E_tot, eV for the cell shown: -29.23
data_Li6NdPd2
_cell_length_a 3.982
_cell_length_b 3.982
_cell_length_c 10.825
_cell_angle_alpha 90.00
_cell_angle_beta 90.00
_cell_angle_gamma 90.00
_symmetry_space_group_name_H-M 'P 4/m m m'
_symmetry_Int_Tables_number 123
_symmetry_space_group_name_Hall '-P 4 2'
loop_
_atom_site_label
_atom_site_fract_x
_atom_site_fract_y
_atom_site_fract_z
Li1 0.000 0.000 0.000
Li2 0.000 0.500 0.216
Li3 0.500 0.500 0.000
Nd1 0.000 0.000 0.500
Pd1 0.500 0.500 0.374



# RhSeSCl2, relaxed, DFT GGA-PBE
# Energy above the lowest structure with this stoichiometry, eV/atom: 0.477
# Density of states at the Fermi level, states/eV/f.u.: 4.664
# Formation energy without anion corrections, eV/atom: 0.787
data_RhSeSCl2
_cell_length_a 4.860
_cell_length_b 4.860
_cell_length_c 5.054
_cell_angle_alpha 90.00
_cell_angle_beta 90.00
_cell_angle_gamma 90.00
_symmetry_space_group_name_H-M 'P 4/m m m'
_symmetry_Int_Tables_number 123
_symmetry_space_group_name_Hall '-P 4 2'
loop_
_atom_site_label
_atom_site_fract_x
_atom_site_fract_y
_atom_site_fract_z
Rh1 0.000 0.000 0.000
Se1 0.500 0.500 0.500
S1 0.500 0.500 0.000
Cl1 0.000 0.500 0.500



# Rb4TeS5, relaxed, DFT GGA-PBE
# Density of states at the Fermi level, states/eV/f.u.: 5.530
# Formation energy without anion corrections, eV/atom: -0.644
data_Rb4TeS5
_cell_length_a 10.386
_cell_length_b 10.386
_cell_length_c 6.708
_cell_angle_alpha 90.00
_cell_angle_beta 90.00
_cell_angle_gamma 90.00
_symmetry_space_group_name_H-M 'I 4'
_symmetry_Int_Tables_number 79
_symmetry_space_group_name_Hall 'I 4'
loop_
_atom_site_label
_atom_site_fract_x
_atom_site_fract_y
_atom_site_fract_z
Rb1 0.112 0.291 0.000
Te1 0.000 0.000 0.434
S1 0.000 0.000 0.083
S2 0.067 0.225 0.503



# NdY2S3, relaxed, DFT GGA-PBE
# Density of states at the Fermi level, states/eV/f.u.: 2.561
# Formation energy without anion corrections, eV/atom: -2.001
data_NdY2S3
_cell_length_a 3.965
_cell_length_b 5.619
_cell_length_c 11.924
_cell_angle_alpha 90.00
_cell_angle_beta 90.00
_cell_angle_gamma 90.00
_symmetry_space_group_name_H-M 'I m m m'
_symmetry_Int_Tables_number 71
_symmetry_space_group_name_Hall '-I 2 2'
loop_
_atom_site_label
_atom_site_fract_x
_atom_site_fract_y
_atom_site_fract_z
Nd1 0.000 0.000 0.000
Y1 0.000 0.000 0.338
S1 0.000 0.500 0.000
S2 0.000 0.500 0.325